The following is a GGA-PBE calculation of an optimized crystal structure of NaSmGeAu, from Alexandria.

Its crystal system is cubic. The total magnetic moment is 0.000 μB per formula unit. The value obtained for the total DFT energy (no corrections) is -3.98 eV/atom.

It has space group F-43m (No. 216), with a = 7.143 Å, b = 7.143 Å, c = 7.143 Å, α = 90.00°, β = 90.00° and γ = 90.00°. The inequivalent atoms are Na at (0.000, 0.000, 0.000), Sm at (0.000, 0.000, 0.500), Ge at (0.250, 0.250, 0.250) and Au at (0.250, 0.250, 0.750).


The following is a GGA-PBE calculation of an optimized crystal structure of Ac2CeAs3, from Alexandria.

Its crystal system is tetragonal. The total magnetic moment is 0.806 μB per formula unit. The value obtained for the total DFT energy (no corrections) is -6.11 eV/atom.

It has space group I4/mmm (No. 139), with a = 4.465 Å, b = 4.465 Å, c = 18.855 Å, α = 90.00°, β = 90.00° and γ = 90.00°. The inequivalent atoms are Ac at (0.000, 0.000, 0.166), Ce at (0.000, 0.000, 0.500), As at (0.000, 0.000, 0.000) and As at (0.000, 0.000, 0.339).


The following is a GGA-PBE calculation of an optimized crystal structure of Rb2MgNpS4, from Alexandria.

Its crystal system is monoclinic. As for the formation energy (no corrections): -1305 meV/atom. The total magnetic moment is 3.000 μB per formula unit. The value obtained for the total DFT energy (no corrections) is -5.43 eV/atom.

It has space group P2/m (No. 10), with a = 6.844 Å, b = 4.056 Å, c = 7.990 Å, α = 90.00°, β = 107.21° and γ = 90.00°. The inequivalent atoms are Rb at (0.000, 0.000, 0.000), Rb at (0.500, 0.500, 0.000), Mg at (0.000, 0.500, 0.500), Np at (0.500, 0.000, 0.500), S at (0.228, 0.000, 0.682) and S at (0.272, 0.500, 0.310).


The following is a GGA-PBE calculation of an optimized crystal structure of RbLa3P, from Alexandria.

Its crystal system is cubic. The excess energy over the best structure of this formula in the dataset comes out at 0 meV/atom. The total magnetic moment is 0.010 μB per formula unit. The value obtained for the total DFT energy (no corrections) is -4.48 eV/atom.

It has space group Pm-3m (No. 221), with a = 5.845 Å, b = 5.845 Å, c = 5.845 Å, α = 90.00°, β = 90.00° and γ = 90.00°. The inequivalent atoms are Rb at (0.000, 0.000, 0.000), La at (0.000, 0.500, 0.500) and P at (0.500, 0.500, 0.500).


The following is a GGA-PBE calculation of an optimized crystal structure of CsTe3I, from Alexandria.

Its crystal system is cubic. As for the formation energy (no corrections): 69 meV/atom. The total magnetic moment is 0.000 μB per formula unit. The value obtained for the total DFT energy (no corrections) is -2.30 eV/atom.

It has space group Pm-3m (No. 221), with a = 6.049 Å, b = 6.049 Å, c = 6.049 Å, α = 90.00°, β = 90.00° and γ = 90.00°. The inequivalent atoms are Cs at (0.000, 0.000, 0.000), Te at (0.000, 0.500, 0.500) and I at (0.500, 0.500, 0.500).


The following is a GGA-PBE calculation of an optimized crystal structure of HfMn4V, from Alexandria.

Its crystal system is cubic. The total magnetic moment is 2.961 μB per formula unit. The value obtained for the total DFT energy (no corrections) is -9.43 eV/atom.

It has space group F-43m (No. 216), with a = 6.800 Å, b = 6.800 Å, c = 6.800 Å, α = 90.00°, β = 90.00° and γ = 90.00°. The inequivalent atoms are Hf at (0.000, 0.000, 0.000), Mn at (0.125, 0.125, 0.375) and V at (0.250, 0.250, 0.750).


The following is a GGA-PBE calculation of an optimized crystal structure of CsTc3W, from Alexandria.

Its crystal system is cubic. The excess energy over the best structure of this formula in the dataset comes out at 1754 meV/atom. The total magnetic moment is 0.000 μB per formula unit. The value obtained for the total DFT energy (no corrections) is -5.37 eV/atom.

It has space group Pm-3m (No. 221), with a = 4.764 Å, b = 4.764 Å, c = 4.764 Å, α = 90.00°, β = 90.00° and γ = 90.00°. The inequivalent atoms are Cs at (0.000, 0.000, 0.000), Tc at (0.000, 0.000, 0.500) and W at (0.500, 0.500, 0.500).


The following is a GGA-PBE calculation of an optimized crystal structure of DyPaTcC3, from Alexandria.

Its crystal system is monoclinic. The total magnetic moment is 0.000 μB per formula unit. The value obtained for the total DFT energy (no corrections) is -8.76 eV/atom.

It has space group P2_1/m (No. 11), with a = 7.257 Å, b = 3.601 Å, c = 7.678 Å, α = 90.00°, β = 92.10° and γ = 90.00°. The inequivalent atoms are Dy at (0.148, 0.250, 0.162), Pa at (0.378, 0.750, 0.828), Tc at (0.100, 0.250, 0.592), C at (0.131, 0.250, 0.846), C at (0.170, 0.750, 0.505) and C at (0.403, 0.750, 0.127).